The following is a PBE calculation of a geometry-optimized CaNiGe2Pt structure, from Alexandria.

```
CaNiGe2Pt
1.0
4.218 0.000 0.000
0.000 4.218 0.000
0.000 0.000 10.221
Ca Ni Ge Pt
2 2 4 2
direct
0.000 0.000 0.000
0.500 0.500 0.500
0.000 0.500 0.750
0.500 0.000 0.250
0.000 0.000 0.374
0.000 0.000 0.626
0.500 0.500 0.126
0.500 0.500 0.874
0.000 0.500 0.250
0.500 0.000 0.750
```

calculated total energy: -52.57 eV per cell
magnetic moment: 0.0000 μB/atom
symmetry: I-4m2, No. 119
ΔE_f: -0.645 eV/atom